Here is an optimized crystal structure of Na2LiZr from the Alexandria database. Energies are from GGA-PBE.

Computed properties:
For the offset from the most stable computed form, the calculation gives 0.000 eV per atom.

The structure in CIF format:
```
data_Na2LiZr
_chemical_formula_sum 'Na6 Li3 Zr3'
_cell_length_a 3.0973
_cell_length_b 3.0973
_cell_length_c 37.1505
_cell_angle_alpha 90.00
_cell_angle_beta 90.00
_cell_angle_gamma 120.00
_space_group_name_H-M_alt 'R -3 m'
_space_group_IT_number 166
_space_group_name_Hall '-R 3 2"'
loop_
_atom_site_label
_atom_site_fract_x
_atom_site_fract_y
_atom_site_fract_z
Na1 0.0000 0.0000 0.0868
Li1 0.0000 0.0000 0.5000
Zr1 0.0000 0.0000 0.0000
```

***

Here is an optimized crystal structure of AcPmHo from the Alexandria database. Energies are from GGA-PBE.

Computed properties:
For the offset from the most stable computed form, the calculation gives 0.004 eV per atom.

The structure in CIF format:
```
data_AcPmHo
_chemical_formula_sum 'Ac2 Pm2 Ho2'
_cell_length_a 3.760
_cell_length_b 3.760
_cell_length_c 15.520
_cell_angle_alpha 90.00
_cell_angle_beta 90.00
_cell_angle_gamma 90.00
_space_group_name_H-M_alt 'I 4 m m'
_space_group_IT_number 107
_space_group_name_Hall 'I 4 -2'
loop_
_atom_site_label
_atom_site_fract_x
_atom_site_fract_y
_atom_site_fract_z
Ac1 0.000 0.000 0.000
Pm1 0.000 0.000 0.325
Ho1 0.000 0.000 0.670
```

***

Here is an optimized crystal structure of Rb3V from the Alexandria database. Energies are from GGA-PBE.

The structure in CIF format:
```
data_Rb3V
_chemical_formula_sum 'Rb12 V4'
_cell_length_a 9.702
_cell_length_b 9.702
_cell_length_c 9.702
_cell_angle_alpha 90.00
_cell_angle_beta 90.00
_cell_angle_gamma 90.00
_space_group_name_H-M_alt 'F m -3 m'
_space_group_IT_number 225
_space_group_name_Hall '-F 4 2 3'
loop_
_atom_site_label
_atom_site_fract_x
_atom_site_fract_y
_atom_site_fract_z
Rb1 0.000 0.000 0.000
Rb2 0.250 0.250 0.250
V1 0.000 0.000 0.500
```

***

Computed values of calculated density (unit: g/cm³) for the preceding records, in sequence: 2.3; 8.1; 2.2.
Computed values of ΔE_f (unit: kJ/mol of formula units) for the preceding records, in sequence: 126; 15; 354.
Computed values of N(E_F) (unit: states/eV per cell) for the preceding records, in sequence: 9.0; 9.0; 47.5.